1.
Entry from Alexandria via LeMat-Bulk: crystalline GaCu12Ge3 at its relaxed geometry (PBE).

Structure (CIF):
```
data_GaCu12Ge3
_chemical_formula_sum 'Ga1 Cu12 Ge3'
_symmetry_space_group_name_H-M 'P 4/m m m'
_symmetry_Int_Tables_number 123
_symmetry_space_group_name_Hall '-P 4 2'
_cell_length_a 3.7370
_cell_length_b 3.7370
_cell_length_c 14.6885
_cell_angle_alpha 90.00
_cell_angle_beta 90.00
_cell_angle_gamma 90.00
loop_
_atom_site_label
_atom_site_type_symbol
_atom_site_fract_x
_atom_site_fract_y
_atom_site_fract_z
_atom_site_occupancy
Ga1 Ga 0.0000 0.0000 0.0000 1
Cu1 Cu 0.0000 0.5000 0.1244 1
Cu2 Cu 0.0000 0.5000 0.3741 1
Cu3 Cu 0.5000 0.5000 0.0000 1
Cu4 Cu 0.5000 0.5000 0.2490 1
Cu5 Cu 0.5000 0.5000 0.5000 1
Ge1 Ge 0.0000 0.0000 0.2488 1
Ge2 Ge 0.0000 0.0000 0.5000 1
```

Values from the calculation:
total energy: -66.26 eV/cell
ΔH_f (0 K): -0.014 eV/atom
crystal system: tetragonal
size of the total moment: 0.000 μB/f.u.

=====

2.
Entry from Alexandria via LeMat-Bulk: crystalline GaCuGe2 at its relaxed geometry (PBE).

Structure (CIF):
```
data_GaCuGe2
_chemical_formula_sum 'Ga3 Cu3 Ge6'
_symmetry_space_group_name_H-M 'R -3 m'
_symmetry_Int_Tables_number 166
_symmetry_space_group_name_Hall '-R 3 2"'
_cell_length_a 2.8816
_cell_length_b 2.8816
_cell_length_c 28.8740
_cell_angle_alpha 90.00
_cell_angle_beta 90.00
_cell_angle_gamma 120.00
loop_
_atom_site_label
_atom_site_type_symbol
_atom_site_fract_x
_atom_site_fract_y
_atom_site_fract_z
_atom_site_occupancy
Ga1 Ga 0.0000 0.0000 0.0000 1
Cu1 Cu 0.0000 0.0000 0.5000 1
Ge1 Ge 0.0000 0.0000 0.0954 1
```

Values from the calculation:
total energy: -47.16 eV/cell
ΔH_f (0 K): 0.159 eV/atom
crystal system: trigonal
size of the total moment: 0.000 μB/f.u.

=====

3.
Entry from Alexandria via LeMat-Bulk: crystalline GaCu14Ge at its relaxed geometry (PBE).

Structure (CIF):
```
data_GaCu14Ge
_chemical_formula_sum 'Ga2 Cu28 Ge2'
_symmetry_space_group_name_H-M 'A m m 2'
_symmetry_Int_Tables_number 38
_cell_length_a 8.3623
_cell_length_b 5.3110
_cell_length_c 8.9458
_cell_angle_alpha 90.00
_cell_angle_beta 90.00
_cell_angle_gamma 90.00
loop_
_symmetry_equiv_pos_as_xyz
'x,y,z'
'-x,-y,z'
'-x,y,z'
'x,-y,z'
'x,y+1/2,z+1/2'
'-x,-y+1/2,z+1/2'
'-x,y+1/2,z+1/2'
'x,-y+1/2,z+1/2'
loop_
_atom_site_label
_atom_site_type_symbol
_atom_site_fract_x
_atom_site_fract_y
_atom_site_fract_z
_atom_site_occupancy
Ga1 Ga 0.0000 0.0000 0.0000 1
Cu1 Cu 0.0000 0.2505 0.2497 1
Cu2 Cu 0.2536 0.0000 0.3311 1
Cu3 Cu 0.2542 0.0000 0.8315 1
Cu4 Cu 0.2548 0.2490 0.0833 1
Cu5 Cu 0.5000 0.0000 0.1614 1
Cu6 Cu 0.5000 0.0000 0.6609 1
Cu7 Cu 0.5000 0.2498 0.4109 1
Ge1 Ge 0.0000 0.0000 0.5004 1
```

Values from the calculation:
total energy: -129.82 eV/cell
ΔH_f (0 K): 0.005 eV/atom
crystal system: orthorhombic
size of the total moment: 0.000 μB/f.u.